# RuWS

A relaxed RuWS crystal (PBE, Alexandria).

Output
M_tot: 0.00 Bohr magnetons per cell
DFT total energy: -8.77 eV per atom

Unit cell a=2.947 b=2.970 c=12.067 alpha=90.00 beta=90.00 gamma=119.74
Sites, in units of the cell vectors:
Ru  0.173  0.345  0.831
W  0.504  0.008  0.000
Ru  0.173  0.345  0.169
S  0.715  0.431  0.641
S  0.715  0.431  0.359
W  0.386  0.773  0.500